Ac2Hg3Pb3: optimized geometry, PBE.

abc: 4.995 4.975 9.848
angles: 90.00 90.00 90.00
Sites, in units of the cell vectors:
1 Pb 0.000 0.500 0.000
2 Hg 0.500 0.500 0.754
3 Hg 0.500 0.000 0.000
4 Pb 0.000 0.500 0.500
5 Pb 0.500 0.000 0.500
6 Ac 0.000 0.000 0.753
7 Hg 0.500 0.500 0.246
8 Ac 0.000 0.000 0.247

Output
- Space-group type: Pmmm, No. 47
- Uncorrected energy: -23.5 eV/cell

Ac5Hg2Pb2: optimized geometry, PBE.

abc: 9.440 7.620 11.390
angles: 109.54 114.48 90.00
Sites, in units of the cell vectors:
1 Pb 0.862 0.393 0.814
2 Ac 0.723 0.754 0.692
3 Hg 0.000 0.854 0.000
4 Hg 0.333 0.523 0.500
5 Ac 0.747 0.730 0.092
6 Ac 0.253 0.639 0.908
7 Ac 0.469 0.254 0.692
8 Pb 0.138 0.579 0.186
9 Ac 0.065 0.801 0.500
10 Ac 0.935 0.301 0.500
11 Ac 0.277 0.062 0.308
12 Pb 0.452 0.893 0.814
13 Ac 0.531 0.562 0.308
14 Hg 0.500 0.354 0.000
15 Ac 0.845 0.230 0.092
16 Hg 0.667 0.023 0.500
17 Pb 0.548 0.079 0.186
18 Ac 0.155 0.139 0.908

Output
- Space-group type: Ima2, No. 46
- Uncorrected energy: -62.7 eV/cell

Ac2Hg5Pb: optimized geometry, PBE.

abc: 6.912 6.914 6.981
angles: 119.77 119.68 90.00
Sites, in units of the cell vectors:
1 Hg 0.703 0.240 0.943
2 Hg 0.235 0.699 0.935
3 Hg 0.240 0.240 0.943
4 Pb 0.194 0.200 0.389
5 Hg 0.765 0.761 0.531
6 Hg 0.700 0.699 0.935
7 Ac 0.719 0.213 0.438
8 Ac 0.220 0.726 0.439

Output
- Space-group type: Cm, No. 8
- Uncorrected energy: -16.4 eV/cell

Ac2Hg2Pb: optimized geometry, PBE.

abc: 4.751 8.328 8.328
angles: 90.00 90.00 90.00
Sites, in units of the cell vectors:
1 Hg 0.000 0.626 0.126
2 Ac 0.500 0.675 0.825
3 Hg 0.000 0.126 0.374
4 Hg 0.000 0.874 0.626
5 Ac 0.500 0.325 0.175
6 Ac 0.500 0.825 0.325
7 Ac 0.500 0.175 0.675
8 Pb 0.000 0.000 0.000
9 Pb 0.000 0.500 0.500
10 Hg 0.000 0.374 0.874

Output
- Space-group type: P4/mbm, No. 127
- Uncorrected energy: -29.8 eV/cell

Ac3Hg4Pb: optimized geometry, PBE.

abc: 4.053 8.124 9.476
angles: 115.38 102.35 90.00
Sites, in units of the cell vectors:
1 Hg 0.365 0.560 0.729
2 Pb 0.500 0.000 0.000
3 Hg 0.635 0.440 0.271
4 Ac 0.190 0.190 0.380
5 Hg 0.365 0.169 0.729
6 Ac 0.810 0.810 0.620
7 Ac 0.000 0.500 0.000
8 Hg 0.635 0.831 0.271

Output
- Space-group type: Immm, No. 71
- Uncorrected energy: -20.0 eV/cell

Ac4HgPb: optimized geometry, PBE.

abc: 5.607 5.608 8.024
angles: 89.97 89.98 90.00
Sites, in units of the cell vectors:
1 Ac 0.501 0.997 0.260
2 Ac 0.001 0.497 0.736
3 Ac 0.001 0.497 0.260
4 Pb 0.501 0.497 0.998
5 Hg 0.001 0.997 0.498
6 Ac 0.501 0.998 0.736

Output
- Space-group type: P4/mmm, No. 123
- Uncorrected energy: -21.6 eV/cell

AcHg4Pb7: optimized geometry, PBE.

abc: 6.520 9.408 7.490
angles: 72.08 64.20 69.73
Sites, in units of the cell vectors:
1 Pb 0.724 0.032 0.519
2 Hg 0.495 0.343 0.667
3 Pb 0.500 0.000 0.000
4 Ac 0.000 0.000 0.000
5 Pb 0.014 0.338 0.634
6 Pb 0.276 0.968 0.481
7 Hg 0.259 0.318 0.163
8 Pb 0.259 0.637 0.846
9 Pb 0.986 0.662 0.366
10 Pb 0.741 0.363 0.154
11 Hg 0.741 0.682 0.837
12 Hg 0.505 0.657 0.333

Output
- Space-group type: C2/m, No. 12
- Uncorrected energy: -30.9 eV/cell

Ac3Hg3Pb2: optimized geometry, PBE.

abc: 4.888 6.737 16.929
angles: 90.00 90.00 111.27
Sites, in units of the cell vectors:
1 Hg 0.392 0.785 0.250
2 Pb 0.225 0.449 0.389
3 Hg 0.383 0.766 0.963
4 Ac 0.653 0.306 0.250
5 Ac 0.068 0.136 0.893
6 Pb 0.225 0.449 0.111
7 Hg 0.383 0.766 0.537
8 Ac 0.932 0.864 0.393
9 Pb 0.775 0.551 0.611
10 Ac 0.068 0.136 0.607
11 Hg 0.617 0.234 0.463
12 Hg 0.617 0.234 0.037
13 Pb 0.775 0.551 0.889
14 Ac 0.932 0.864 0.107
15 Ac 0.347 0.694 0.750
16 Hg 0.608 0.215 0.750

Output
- Space-group type: Cmcm, No. 63
- Uncorrected energy: -48.7 eV/cell

Ac2Hg15Pb2: optimized geometry, PBE.

abc: 8.663 8.663 8.663
angles: 67.70 67.70 67.70
Sites, in units of the cell vectors:
1 Hg 0.299 0.000 0.701
2 Hg 0.299 0.701 0.000
3 Hg 0.000 0.000 0.500
4 Hg 0.579 0.579 0.188
5 Hg 0.421 0.812 0.421
6 Hg 0.000 0.500 0.000
7 Hg 0.000 0.299 0.701
8 Hg 0.579 0.188 0.579
9 Pb 0.102 0.102 0.102
10 Ac 0.707 0.707 0.707
11 Hg 0.812 0.421 0.421
12 Hg 0.701 0.000 0.299
13 Hg 0.421 0.421 0.812
14 Ac 0.293 0.293 0.293
15 Hg 0.701 0.299 0.000
16 Hg 0.188 0.579 0.579
17 Hg 0.000 0.701 0.299
18 Hg 0.500 0.000 0.000
19 Pb 0.898 0.898 0.898

Output
- Space-group type: R-3m, No. 166
- Uncorrected energy: -22.8 eV/cell

AcHg4Pb8: optimized geometry, PBE.

abc: 8.661 8.661 8.661
angles: 60.00 60.00 60.00
Sites, in units of the cell vectors:
1 Pb 0.593 0.593 0.593
2 Hg 0.345 0.345 0.345
3 Pb 0.098 0.098 0.098
4 Pb 0.098 0.705 0.098
5 Pb 0.220 0.593 0.593
6 Hg 0.345 0.964 0.345
7 Ac 0.750 0.750 0.750
8 Pb 0.098 0.098 0.705
9 Pb 0.705 0.098 0.098
10 Pb 0.593 0.220 0.593
11 Hg 0.345 0.345 0.964
12 Pb 0.593 0.593 0.220
13 Hg 0.964 0.345 0.345

Output
- Space-group type: F-43m, No. 216
- Uncorrected energy: -32.3 eV/cell

AcHgPb: optimized geometry, PBE.

abc: 5.629 5.629 6.980
angles: 90.00 90.00 119.97
Sites, in units of the cell vectors:
1 Hg 0.333 0.167 0.750
2 Ac 0.333 0.167 0.250
3 Pb 0.000 0.500 0.500
4 Ac 0.667 0.833 0.750
5 Hg 0.667 0.833 0.250
6 Pb 0.000 0.500 0.000

Output
- Space-group type: P6_3/mmc, No. 194
- Uncorrected energy: -19.2 eV/cell

Question: Which formula does entry 8 have?
Answer: Ac3Hg3Pb2